Entry 1:
This record from Alexandria via LeMat-Bulk describes an optimized crystal structure of SrRuAu2. The functional is PBE-GGA.

The energy above the lowest structure with this stoichiometry is 0.00 eV/f.u. The crystal system is monoclinic. As for the symmetry: C2/m, No. 12. The energy relative to the elements comes out at -62 meV per atom. For the density of states at the Fermi level, the calculation gives 3.911 states/eV/cell.

a = 4.577 Å, b = 4.577 Å, c = 5.891 Å
α = 67.08°, β = 67.08°, γ = 60.01°
Element x y z (fractional)
Sr 0.250 0.250 0.250
Ru 0.750 0.750 0.750
Au 0.049 0.049 0.853
Au 0.451 0.451 0.647


Entry 2:
This record from Alexandria via LeMat-Bulk describes an optimized crystal structure of SrRuAu. The functional is PBE-GGA.

The energy above the lowest structure with this stoichiometry is 1.18 eV/f.u. The crystal system is cubic. As for the symmetry: F-43m, No. 216. The energy relative to the elements comes out at 521 meV per atom. For the density of states at the Fermi level, the calculation gives 5.147 states/eV/cell.

a = 4.729 Å, b = 4.729 Å, c = 4.729 Å
α = 60.00°, β = 60.00°, γ = 60.00°
Element x y z (fractional)
Ru 0.250 0.250 0.250
Sr 0.000 0.000 0.000
Au 0.500 0.500 0.500


Entry 3:
This record from Alexandria via LeMat-Bulk describes an optimized crystal structure of SrRu4Au. The functional is PBE-GGA.

The crystal system is cubic. As for the symmetry: F-43m, No. 216. The energy relative to the elements comes out at 511 meV per atom. For the density of states at the Fermi level, the calculation gives 8.881 states/eV/cell.

a = 5.327 Å, b = 5.327 Å, c = 5.327 Å
α = 60.00°, β = 60.00°, γ = 60.00°
Element x y z (fractional)
Ru 0.374 0.878 0.374
Ru 0.374 0.374 0.374
Ru 0.374 0.374 0.878
Ru 0.878 0.374 0.374
Sr 0.750 0.750 0.750
Au 0.000 0.000 0.000


Entry 4:
This record from Alexandria via LeMat-Bulk describes an optimized crystal structure of SrRuAu2. The functional is PBE-GGA.

The energy above the lowest structure with this stoichiometry is 0.64 eV/f.u. The crystal system is tetragonal. As for the symmetry: P4/mmm, No. 123. The energy relative to the elements comes out at 97 meV per atom. For the density of states at the Fermi level, the calculation gives 1.703 states/eV/cell.

a = 4.721 Å, b = 4.721 Å, c = 3.666 Å
α = 90.00°, β = 90.00°, γ = 89.96°
Element x y z (fractional)
Au 0.000 0.000 0.000
Au 0.500 0.500 0.000
Sr 0.000 0.500 0.500
Ru 0.500 0.000 0.500


Entry 5:
This record from Alexandria via LeMat-Bulk describes an optimized crystal structure of SrRuAu2. The functional is PBE-GGA.

The energy above the lowest structure with this stoichiometry is 1.04 eV/f.u. The crystal system is cubic. As for the symmetry: Fm-3m, No. 225. The energy relative to the elements comes out at 198 meV per atom. For the density of states at the Fermi level, the calculation gives 0.766 states/eV/cell.

a = 4.922 Å, b = 4.922 Å, c = 4.922 Å
α = 60.00°, β = 60.00°, γ = 60.00°
Element x y z (fractional)
Ru 0.500 0.500 0.500
Au 0.250 0.250 0.250
Au 0.750 0.750 0.750
Sr 0.000 0.000 0.000


Entry 6:
This record from Alexandria via LeMat-Bulk describes an optimized crystal structure of SrRuAu. The functional is PBE-GGA.

The energy above the lowest structure with this stoichiometry is 0.00 eV/f.u. The crystal system is hexagonal. As for the symmetry: P-6m2, No. 187. The energy relative to the elements comes out at 129 meV per atom. For the density of states at the Fermi level, the calculation gives 3.755 states/eV/cell.

a = 4.463 Å, b = 4.463 Å, c = 4.362 Å
α = 90.00°, β = 90.00°, γ = 120.00°
Element x y z (fractional)
Ru 0.667 0.333 0.167
Au 0.000 0.000 0.167
Sr 0.333 0.667 0.667